{"formula": "Sm4S3N", "functional": "GGA-PBE", "state": "optimized geometry", "cell": [[5.541, 0.000, 0.000], [0.000, 5.541, 0.000], [0.000, 0.000, 5.541]], "species": ["S", "S", "S", "Sm", "Sm", "Sm", "Sm", "N"], "frac_coords": [[0.000, 0.500, 0.500], [0.500, 0.500, 0.000], [0.500, 0.000, 0.500], [0.500, 0.000, 0.000], [0.500, 0.500, 0.500], [0.000, 0.000, 0.500], [0.000, 0.500, 0.000], [0.000, 0.000, 0.000]], "raw_formation_energy_ev_per_atom": -1.756, "spacegroup": "Pm-3m", "e_tot_ev_per_atom": -6.70}

=====

{"formula": "Sm5SN4", "functional": "GGA-PBE", "state": "optimized geometry", "cell": [[3.668, 0.000, -0.517], [-0.073, 3.667, -0.517], [-0.015, -0.015, 13.165]], "species": ["N", "N", "N", "N", "Sm", "Sm", "Sm", "Sm", "Sm", "S"], "frac_coords": [[0.202, 0.202, 0.403], [0.798, 0.798, 0.597], [0.397, 0.397, 0.793], [0.603, 0.603, 0.207], [0.298, 0.298, 0.596], [0.702, 0.702, 0.404], [0.500, 0.500, 0.000], [0.891, 0.891, 0.783], [0.109, 0.109, 0.217], [0.000, 0.000, 0.000]], "raw_formation_energy_ev_per_atom": -1.512, "spacegroup": "I4/mmm", "e_tot_ev_per_atom": -7.61}

=====

{"formula": "SmSN", "functional": "GGA-PBE", "state": "optimized geometry", "cell": [[3.517, 0.000, 0.000], [0.000, 3.517, 0.000], [-1.758, -1.758, 12.507]], "species": ["Sm", "Sm", "S", "S", "N", "N"], "frac_coords": [[0.131, 0.131, 0.262], [0.869, 0.869, 0.738], [0.314, 0.314, 0.628], [0.686, 0.686, 0.372], [0.387, 0.387, 0.774], [0.613, 0.613, 0.226]], "raw_formation_energy_ev_per_atom": -0.863, "spacegroup": "I4/mmm", "e_tot_ev_per_atom": -6.59}

=====

{"formula": "SmSN", "functional": "GGA-PBE", "state": "optimized geometry", "cell": [[-2.050, -2.522, -1.520], [-0.811, 0.490, 4.516], [-4.832, 4.771, -1.399]], "species": ["N", "N", "S", "S", "Sm", "Sm"], "frac_coords": [[0.483, 0.966, 0.250], [0.517, 0.034, 0.750], [0.695, 0.390, 0.250], [0.305, 0.610, 0.750], [0.000, 0.000, 0.500], [0.000, 0.000, 0.000]], "raw_formation_energy_ev_per_atom": -0.975, "spacegroup": "C2/m", "e_tot_ev_per_atom": -6.70}

=====

{"formula": "Sm4SN2", "functional": "GGA-PBE", "state": "optimized geometry", "cell": [[3.525, 0.000, -0.964], [-0.574, 5.921, -2.100], [0.126, -0.704, 7.386]], "species": ["S", "Sm", "Sm", "Sm", "Sm", "N", "N"], "frac_coords": [[0.000, 0.000, 0.000], [0.644, 0.312, 0.288], [0.855, 0.191, 0.710], [0.145, 0.809, 0.290], [0.356, 0.688, 0.712], [0.256, 0.253, 0.512], [0.744, 0.747, 0.488]], "raw_formation_energy_ev_per_atom": -1.366, "spacegroup": "C2/m", "e_tot_ev_per_atom": -7.03}

=====

{"formula": "TbSmSN", "functional": "GGA-PBE", "state": "optimized geometry", "cell": [[-0.714, 0.544, -3.570], [1.315, -2.341, -2.518], [-5.099, -4.135, -1.508]], "species": ["Tb", "Sm", "S", "N"], "frac_coords": [[0.514, 0.514, 0.459], [0.987, 0.987, 0.039], [0.752, 0.752, 0.743], [0.247, 0.247, 0.259]], "raw_formation_energy_ev_per_atom": -1.814, "spacegroup": "R3m", "e_tot_ev_per_atom": -7.26}